(1)
{
  "formula": "Cs2Cu2IrO6",
  "functional": "GGA-PBE",
  "state": "optimized geometry",
  "lattice": [[-3.3231, 2.5893, -4.0910], [0.1491, -1.9166, -5.5487], [-5.7603, -3.8092, -1.9464]],
  "species": ["Cs", "Cs", "O", "O", "O", "O", "O", "O", "Cu", "Cu", "Ir"],
  "frac_coords": [[0.2116, 0.2116, 0.3653], [0.7884, 0.7884, 0.6347], [0.2145, 0.2145, 0.8167], [0.2457, 0.7855, 0.1833], [0.2145, 0.7543, 0.8167], [0.7855, 0.2457, 0.1833], [0.7855, 0.7855, 0.1833], [0.7543, 0.2145, 0.8167], [0.6159, 0.6159, 0.1522], [0.3841, 0.3841, 0.8478], [0.0000, 0.0000, 0.0000]],
  "raw_formation_energy_ev_per_atom": -0.91,
  "magmom_total_mub_per_cell": 0.0,
  "sg": "No. 166"
}

***

(2)
{
  "formula": "CoRe2Si",
  "functional": "GGA-PBE",
  "state": "optimized geometry",
  "lattice": [[-6.5323, 3.0135, -4.3558], [-7.5468, 0.5624, -3.6682], [-7.7415, 2.6649, -1.9215]],
  "species": ["Re", "Re", "Si", "Co"],
  "frac_coords": [[0.4997, 0.4997, 0.4997], [0.0003, 0.0003, 0.0003], [0.2500, 0.2500, 0.2500], [0.7500, 0.7500, 0.7500]],
  "raw_formation_energy_ev_per_atom": 0.08,
  "magmom_total_mub_per_cell": 0.6,
  "sg": "No. 166"
}

***

(3)
{
  "formula": "Pm2Be3AlSi4",
  "functional": "GGA-PBE",
  "state": "optimized geometry",
  "lattice": [[3.9889, 0.0000, 0.0000], [0.0000, 3.9889, 0.0000], [0.0000, 0.0000, 10.0602]],
  "species": ["Si", "Si", "Si", "Si", "Al", "Pm", "Pm", "Be", "Be", "Be"],
  "frac_coords": [[0.0000, 0.5000, 0.3534], [0.5000, 0.0000, 0.6466], [0.5000, 0.5000, 0.0000], [0.0000, 0.0000, 0.0000], [0.5000, 0.5000, 0.5000], [0.5000, 0.0000, 0.2365], [0.0000, 0.5000, 0.7635], [0.5000, 0.0000, 0.8794], [0.0000, 0.0000, 0.5000], [0.0000, 0.5000, 0.1206]],
  "raw_formation_energy_ev_per_atom": -0.32,
  "magmom_total_mub_per_cell": 0.0,
  "sg": "No. 115"
}